# 1
A plane-wave DFT calculation with PBE was carried out for a relaxed structure of SrGaSn2S6.

Lattice parameters (Å, degrees): 7.614 9.063 9.063 99.48 74.56 74.56
Sites, in units of the cell vectors:
Sr1 0.250 0.896 0.104
Sr2 0.750 0.104 0.896
Ga1 0.250 0.181 0.819
Ga2 0.750 0.819 0.181
Sn1 0.345 0.713 0.540
Sn2 0.155 0.460 0.287
Sn3 0.655 0.287 0.460
Sn4 0.845 0.540 0.713
S1 0.181 0.943 0.796
S2 0.319 0.204 0.057
S3 0.819 0.057 0.204
S4 0.681 0.796 0.943
S5 0.447 0.876 0.358
S6 0.053 0.642 0.124
S7 0.553 0.124 0.642
S8 0.947 0.358 0.876
S9 0.003 0.703 0.554
S10 0.497 0.446 0.297
S11 0.997 0.297 0.446
S12 0.503 0.554 0.703

Values from the calculation:
* ΔE_f (raw): -681.1 kJ/mol of formula units
* DOS(E_F): 0.23 states/eV per atom

# 2
A plane-wave DFT calculation with PBE was carried out for a relaxed structure of CaTbSm3.

Lattice parameters (Å, degrees): 6.422 6.731 9.637 69.56 90.00 90.00
Sites, in units of the cell vectors:
Ca1 0.750 0.185 0.630
Ca2 0.250 0.815 0.370
Tb1 0.750 0.548 0.904
Tb2 0.250 0.452 0.096
Sm1 0.750 0.607 0.267
Sm2 0.750 0.125 0.267
Sm3 0.250 0.875 0.733
Sm4 0.250 0.393 0.733
Sm5 0.000 0.000 0.000
Sm6 0.500 0.000 0.000

Values from the calculation:
* DOS(E_F): 1.49 states/eV per atom
* energy above the lowest structure with this stoichiometry: 0 meV/atom
* energy relative to the elements: 328 meV/atom

# 3
A plane-wave DFT calculation with PBE was carried out for a relaxed structure of YZr2Os.

Lattice parameters (Å, degrees): 3.381 4.112 6.445 90.00 90.00 90.00
Sites, in units of the cell vectors:
Os1 0.000 0.000 0.451
Y1 0.500 0.500 0.733
Zr1 0.000 0.000 0.042
Zr2 0.500 0.500 0.274

Values from the calculation:
* DOS(E_F): 1.20 states/eV per atom
* energy above the lowest structure with this stoichiometry: 292 meV/atom
* energy relative to the elements: 73 meV/atom

# 4
A plane-wave DFT calculation with PBE was carried out for a relaxed structure of TbPr2Pt2I2.

Lattice parameters (Å, degrees): 5.304 5.304 9.068 107.00 107.00 90.00
Sites, in units of the cell vectors:
Tb1 0.000 0.000 0.000
Pr1 0.396 0.396 0.793
Pr2 0.604 0.604 0.207
Pt1 0.000 0.500 0.000
Pt2 0.500 0.000 0.000
I1 0.194 0.194 0.387
I2 0.806 0.806 0.613

Values from the calculation:
* ΔE_f (raw): -636.0 kJ/mol of formula units
* DOS(E_F): 0.86 states/eV per atom

# 5
A plane-wave DFT calculation with PBE was carried out for a relaxed structure of Ho3Er6Sc2.

Lattice parameters (Å, degrees): 4.664 4.664 16.190 98.28 98.28 90.00
Sites, in units of the cell vectors:
Ho1 0.000 0.000 0.000
Ho2 0.801 0.801 0.602
Ho3 0.199 0.199 0.398
Er1 0.116 0.616 0.233
Er2 0.616 0.116 0.233
Er3 0.884 0.384 0.767
Er4 0.384 0.884 0.767
Er5 0.693 0.693 0.387
Er6 0.307 0.307 0.613
Sc1 0.456 0.456 0.912
Sc2 0.544 0.544 0.088

Values from the calculation:
* DOS(E_F): 1.65 states/eV per atom
* energy relative to the elements: 304 meV/atom

# 6
A plane-wave DFT calculation with PBE was carried out for a relaxed structure of RbNp2CuS5.

Lattice parameters (Å, degrees): 7.590 7.590 8.708 115.84 115.84 90.00
Sites, in units of the cell vectors:
Rb1 0.250 0.250 0.500
Rb2 0.750 0.750 0.500
Np1 0.164 0.336 0.000
Np2 0.664 0.164 0.000
Np3 0.336 0.836 0.000
Np4 0.836 0.664 0.000
Cu1 0.250 0.750 0.500
Cu2 0.750 0.250 0.500
S1 0.981 0.481 0.247
S2 0.734 0.234 0.753
S3 0.019 0.519 0.753
S4 0.234 0.019 0.753
S5 0.519 0.734 0.753
S6 0.766 0.981 0.247
S7 0.481 0.266 0.247
S8 0.266 0.766 0.247
S9 0.500 0.500 0.000
S10 0.000 0.000 0.000

Values from the calculation:
* ΔE_f (raw): -985.5 kJ/mol of formula units
* DOS(E_F): 1.79 states/eV per atom

Q: Which formula does entry 5 have?
A: Ho3Er6Sc2